LaPt2Se | GGA-PBEsol | relaxed

Results
Raw formation energy in eV/atom: -0.689
Total moment in μB/cell: 0.00
Space-group type: R-3m
Density in g/cm3: 12.12

abc: 4.3991 4.3991 5.5819
angles: 66.79 66.79 60.00
Closest atoms and distances in Å follow each position.
Sites, in units of the cell vectors:
1 La 0.0000 0.0000 0.0000  8 Pt 3.10-3.20
2 Pt 0.2147 0.2147 0.3558  3 Se 2.64, 3 Pt 2.92
3 Pt 0.7853 0.7853 0.6442  3 Se 2.64, 3 Pt 2.92
4 Se 0.5000 0.5000 0.5000  6 Pt 2.64